1.
Entry from Alexandria via LeMat-Bulk: a relaxed K2HfP crystal (GGA-PBE).

Computed properties:
* M_tot: 1.5 μB/cell
* calculated volume: 377.3 Å³/cell
* energy: -4.15 eV per atom
* energy of formation from the pure elements: 23.4 kJ/mol of atoms

```
8
Lattice="12.326 0.000 0.000 0.000 12.326 0.000 6.163 6.163 2.484" Properties=species:S:1:pos:R:3 pbc="T T T"
K 9.244 11.234 1.863
P 6.163 12.326 1.242
K 15.407 13.417 1.863
P 6.163 6.163 0.000
K 5.072 9.244 0.621
Hf 0.000 0.000 0.000
K 7.254 3.081 0.621
Hf 12.326 6.163 1.242
```


2.
Entry from Alexandria via LeMat-Bulk: a relaxed BeAlFe2 crystal (GGA-PBE).

Computed properties:
* M_tot: 4.0 μB/cell
* calculated volume: 44.8 Å³/cell
* energy: -6.25 eV per atom
* energy of formation from the pure elements: -14.8 kJ/mol of atoms

```
4
Lattice="4.429 0.102 0.000 1.589 4.136 0.000 -3.009 -2.119 2.467" Properties=species:S:1:pos:R:3 pbc="T T T"
Al 3.009 2.119 0.000
Be 2.215 0.051 1.233
Fe 0.000 0.000 0.000
Fe 0.794 2.068 1.233
```


3.
Entry from Alexandria via LeMat-Bulk: a relaxed Sm2DyHoTm6 crystal (GGA-PBE).

Computed properties:
* M_tot: 0.0 μB/cell
* calculated volume: 627.6 Å³/cell
* energy: -4.43 eV per atom
* energy of formation from the pure elements: 11.5 kJ/mol of atoms

```
20
Lattice="9.053 -2.112 -2.192 0.763 8.414 -2.000 0.763 -2.310 8.334" Properties=species:S:1:pos:R:3 pbc="T T T"
Sm 9.811 2.019 3.218
Tm 1.184 -0.784 5.837
Ho 3.026 1.529 3.578
Tm 6.664 -2.586 3.242
Tm 2.137 4.392 -1.368
Tm 4.868 -0.814 5.806
Dy 3.026 7.675 -2.344
Tm 5.711 4.806 -1.664
Sm 5.294 -0.205 0.910
Sm 5.284 4.197 3.233
Tm 3.915 6.578 0.900
Tm 8.441 -0.400 5.511
Tm 8.579 -0.573 1.680
Tm 6.526 1.235 3.557
Tm 1.999 4.565 2.462
Tm 9.394 4.776 -1.694
Dy 7.553 -3.683 6.487
Tm 4.053 2.757 0.586
Sm 0.768 1.973 0.925
Ho 7.553 2.463 0.564
```


Which formula does entry 1 have?
K2HfP


What is the energy in the first record?
-4.15 eV per atom


Number 1 is which compound?
K2HfP


Which value of energy does entry 1 give?
-4.15 eV per atom